(1)
Dy2YCd3 | PBE-GGA | relaxed

CIF file:
```
data_Dy2YCd3
_cell_length_a 3.747
_cell_length_b 3.747
_cell_length_c 11.231
_cell_angle_alpha 90.00
_cell_angle_beta 90.00
_cell_angle_gamma 90.00
_symmetry_space_group_name_H-M 'P 4/m m m'
_symmetry_Int_Tables_number 123
_symmetry_space_group_name_Hall '-P 4 2'
loop_
_atom_site_label
_atom_site_type_symbol
_atom_site_fract_x
_atom_site_fract_y
_atom_site_fract_z
Dy1 Dy 0.000 0.000 0.166
Y1 Y 0.000 0.000 0.500
Cd1 Cd 0.500 0.500 0.000
Cd2 Cd 0.500 0.500 0.332
```

---

(2)
Dy2Y7Cd2 | PBE-GGA | relaxed

CIF file:
```
data_Dy2Y7Cd2
_cell_length_a 8.561
_cell_length_b 9.819
_cell_length_c 8.467
_cell_angle_alpha 90.00
_cell_angle_beta 109.67
_cell_angle_gamma 90.00
_symmetry_space_group_name_H-M 'C 1 2/m 1'
_symmetry_Int_Tables_number 12
_symmetry_space_group_name_Hall '-C 2y'
loop_
_atom_site_label
_atom_site_type_symbol
_atom_site_fract_x
_atom_site_fract_y
_atom_site_fract_z
Dy1 Dy 0.000 0.183 0.000
Y1 Y 0.000 0.500 0.500
Y2 Y 0.142 0.500 0.918
Y3 Y 0.196 0.178 0.673
Cd1 Cd 0.120 0.000 0.324
```

---

| no. | V (A^3/atom) | VASP energy (eV/atom) |
| --- | --- | --- |
| 1 | 26.283 | -3.400 |
| 2 | 30.464 | -5.184 |